LiAlCd after structural relaxation, computed with GGA-PBE.

Calculated values
Energy of formation from the pure elements ... -0.3 eV per formula unit
Space-group type ... Imm2

Cell: 4.973 4.973 4.973 Å, 144.57 129.28 63.39°
Positions (direct):
Al: 0.001 0.001 0.000
Cd: 0.334 0.334 0.000
Li: 0.666 0.666 0.000

***

La3Ga8Au3 after structural relaxation, computed with GGA-PBE.

Calculated values
Energy of formation from the pure elements ... -8.5 eV per formula unit
Space-group type ... C2/m

Cell: 4.607 8.520 8.512 Å, 68.54 74.30 74.31°
Positions (direct):
Ga: 0.147 0.571 0.134
Ga: 0.497 0.693 0.313
Ga: 0.854 0.867 0.426
Ga: 0.342 0.026 0.291
Ga: 0.146 0.133 0.574
Ga: 0.853 0.429 0.866
Ga: 0.658 0.974 0.709
Ga: 0.503 0.307 0.687
Au: 0.349 0.291 0.011
Au: 0.651 0.709 0.989
Au: 0.000 0.500 0.500
La: 0.700 0.303 0.296
La: 0.000 0.000 0.000
La: 0.300 0.697 0.704

***

Cs2CaO2 after structural relaxation, computed with GGA-PBE.

Calculated values
Uncorrected formation energy ... -1.681 eV per atom
Space-group type ... Pbcn

Cell: 6.519 6.949 11.416 Å, 90.00 90.00 90.00°
Positions (direct):
Cs: 0.917 0.883 0.658
Cs: 0.083 0.117 0.342
Cs: 0.417 0.617 0.842
Cs: 0.917 0.383 0.842
Cs: 0.583 0.383 0.158
Cs: 0.083 0.617 0.158
Cs: 0.417 0.117 0.658
Cs: 0.583 0.883 0.342
O: 0.487 0.328 0.405
O: 0.013 0.328 0.595
O: 0.987 0.172 0.095
O: 0.513 0.672 0.595
O: 0.513 0.172 0.905
O: 0.487 0.828 0.095
O: 0.987 0.672 0.405
O: 0.013 0.828 0.905
Ca: 0.250 0.519 0.500
Ca: 0.750 0.981 0.000
Ca: 0.750 0.481 0.500
Ca: 0.250 0.019 0.000

***

PaNbGa2 after structural relaxation, computed with GGA-PBE.

Calculated values
Energy of formation from the pure elements ... -0.5 eV per formula unit
Space-group type ... P4/mmm

Cell: 4.647 4.095 4.095 Å, 90.00 90.00 90.00°
Positions (direct):
Ga: 0.000 0.500 0.000
Ga: 0.000 0.000 0.500
Nb: 0.500 0.000 0.000
Pa: 0.500 0.500 0.500

***

ZrSi2Rh after structural relaxation, computed with GGA-PBE.

Calculated values
Uncorrected formation energy ... -0.240 eV per atom
Space-group type ... R3m

Cell: 8.428 8.428 8.428 Å, 20.59 20.59 20.59°
Positions (direct):
Rh: 0.739 0.739 0.739
Si: 0.258 0.258 0.258
Si: 0.003 0.003 0.003
Zr: 0.501 0.501 0.501

***

Er2HfCu after structural relaxation, computed with GGA-PBE.

Calculated values
Energy of formation from the pure elements ... -0.3 eV per formula unit
Space-group type ... P4/mmm

Cell: 3.338 3.338 8.264 Å, 90.00 90.00 90.00°
Positions (direct):
Er: 0.000 0.000 0.780
Er: 0.000 0.000 0.220
Cu: 0.500 0.500 0.000
Hf: 0.500 0.500 0.500

***

V4ReRh2 after structural relaxation, computed with GGA-PBE.

Calculated values
Energy of formation from the pure elements ... 6.0 eV per formula unit
Space-group type ... I4/mmm

Cell: 4.546 4.546 6.966 Å, 70.96 70.96 90.00°
Positions (direct):
V: 0.197 0.197 0.607
V: 0.500 0.000 0.000
V: 0.000 0.500 0.000
V: 0.803 0.803 0.393
Rh: 0.614 0.614 0.772
Rh: 0.386 0.386 0.228
Re: 0.000 0.000 0.000

***

Fe6NiPt after structural relaxation, computed with GGA-PBE.

Calculated values
Energy of formation from the pure elements ... -0.2 eV per formula unit
Space-group type ... Cmmm

Cell: 6.416 6.416 10.967 Å, 90.00 90.00 118.62°
Positions (direct):
Fe: 0.363 0.117 0.880
Fe: 0.883 0.637 0.880
Fe: 0.113 0.369 0.130
Fe: 0.000 0.000 0.750
Fe: 0.117 0.363 0.880
Fe: 0.251 0.749 0.495
Fe: 0.363 0.117 0.620
Fe: 0.637 0.883 0.620
Fe: 0.500 0.500 0.250
Fe: 0.637 0.883 0.880
Fe: 0.369 0.113 0.130
Fe: 0.887 0.631 0.370
Fe: 0.631 0.887 0.130
Fe: 0.251 0.749 0.005
Fe: 0.369 0.113 0.370
Fe: 0.887 0.631 0.130
Fe: 0.749 0.251 0.495
Fe: 0.117 0.363 0.620
Fe: 0.749 0.251 0.005
Fe: 0.883 0.637 0.620
Fe: 0.000 0.000 0.250
Fe: 0.631 0.887 0.370
Fe: 0.113 0.369 0.370
Fe: 0.500 0.500 0.750
Ni: 0.746 0.254 0.250
Ni: 0.000 0.000 0.005
Ni: 0.000 0.000 0.495
Ni: 0.254 0.746 0.250
Pt: 0.255 0.745 0.750
Pt: 0.500 0.500 0.495
Pt: 0.745 0.255 0.750
Pt: 0.500 0.500 0.005

***

GdThOs2 after structural relaxation, computed with GGA-PBE.

Calculated values
Energy of formation from the pure elements ... -0.5 eV per formula unit
Space-group type ... P4/mmm

Cell: 3.511 4.952 4.952 Å, 90.00 90.00 90.00°
Positions (direct):
Os: 0.000 0.000 0.500
Os: 0.000 0.500 0.000
Gd: 0.500 0.500 0.500
Th: 0.500 0.000 0.000

***

ZrScTe2 after structural relaxation, computed with GGA-PBE.

Calculated values
Uncorrected formation energy ... -0.822 eV per atom
Space-group type ... Pmm2

Cell: 5.681 4.518 3.913 Å, 89.99 90.00 90.00°
Positions (direct):
Sc: 0.500 0.781 0.875
Te: 0.500 0.300 0.375
Te: 0.000 0.950 0.875
Zr: 0.000 0.469 0.375

***

LiFeIr2 after structural relaxation, computed with GGA-PBE.

Calculated values
Energy of formation from the pure elements ... 0.4 eV per formula unit
Space-group type ... F-43m

Cell: 4.243 4.243 4.243 Å, 60.00 60.00 60.00°
Positions (direct):
Li: 0.750 0.750 0.750
Ir: 0.000 0.000 0.000
Ir: 0.250 0.250 0.250
Fe: 0.500 0.500 0.500

***

Li3La2USe6 after structural relaxation, computed with GGA-PBE.

Calculated values
Uncorrected formation energy ... -1.522 eV per atom
Space-group type ... C2/m

Cell: 7.349 7.349 6.939 Å, 100.11 100.11 120.05°
Positions (direct):
U: 0.000 0.000 0.000
Se: 0.410 0.087 0.262
Se: 0.087 0.410 0.262
Se: 0.238 0.238 0.743
Se: 0.590 0.913 0.738
Se: 0.913 0.590 0.738
Se: 0.762 0.762 0.257
Li: 0.500 0.500 0.500
Li: 0.160 0.840 0.500
Li: 0.840 0.160 0.500
La: 0.667 0.333 0.000
La: 0.333 0.667 0.000